A relaxed structure of MnBrF, computed with PBE+U.

```
3
Lattice="-3.882 2.369 3.151 1.214 -1.854 2.889 1.379 3.282 -0.768" Properties=species:S:1:pos:R:3 pbc="T T T"
Mn 0.182 0.521 2.553
Br -0.938 2.950 2.287
F -0.532 0.325 0.432
```

Properties
The calculation puts the total energy at -16.184 eV/cell. The energy above the lowest structure with this stoichiometry is 0.093 eV/atom. Its space group is No. 156.